PBE KCa2AsO, relaxed; energy = -1.944 eV/atom; formation energy (no corrections) = 1.00 eV per atom; V = 38.39 Å³/atom
1.0
6.144 0.000 0.000
0.000 6.144 0.000
0.000 0.000 5.085
K Ca As O
1 2 1 1
Direct
0.000 0.000 0.000
0.000 0.500 0.000
0.500 0.000 0.000
0.000 0.000 0.500
0.500 0.500 0.500